This record from Alexandria via LeMat-Bulk describes a relaxed Ac2FeCuO6 crystal. The functional is GGA+U.

Cell and atoms, written as POSCAR:
```
Ac2FeCuO6
1.0
3.986 0.000 0.000
0.000 3.986 0.000
0.000 0.000 7.902
Ac Fe Cu O
2 1 1 6
Direct
0.000 0.000 0.742
0.000 0.000 0.258
0.500 0.500 0.000
0.500 0.500 0.500
0.500 0.000 0.000
0.500 0.000 0.500
0.000 0.500 0.000
0.000 0.500 0.500
0.500 0.500 0.748
0.500 0.500 0.252
```

Summary:
* magnetization: 0.478 μB per atom
* space group: P4/mmm (123)
* volume: 126 Å³/cell
* raw total energy: -7.010 eV per atom